DFT (GGA-PBE) results for Ce2AlFe3 after structural relaxation.

a = 5.249 Å, b = 5.249 Å, c = 8.287 Å
α = 90.00°, β = 90.00°, γ = 120.00°
Each line ends with the local moment (μB).
Element x y z (fractional)
Fe (0.659, 0.830, 0.250)  1.67
Fe (0.830, 0.659, 0.750)  1.67
Fe (0.830, 0.170, 0.750)  1.67
Fe (0.170, 0.341, 0.250)  1.67
Fe (0.170, 0.830, 0.250)  1.67
Fe (0.341, 0.170, 0.750)  1.67
Ce (0.333, 0.667, 0.573)  -0.60
Ce (0.667, 0.333, 0.073)  -0.60
Ce (0.667, 0.333, 0.427)  -0.60
Ce (0.333, 0.667, 0.927)  -0.60
Al (0.000, 0.000, 0.000)  -0.03
Al (0.000, 0.000, 0.500)  -0.03

## Properties
The calculation puts the formation energy at -0.185 eV/atom. As for the space group: No. 194. The calculation puts the total energy at -7.0181 eV per atom. For the energy above the lowest structure with this stoichiometry, the calculation gives 0 meV per atom.

DFT (GGA-PBE) results for LiMgGa2 after structural relaxation.

a = 4.209 Å, b = 4.067 Å, c = 4.067 Å
α = 90.00°, β = 90.00°, γ = 90.00°
Element x y z (fractional)
Ga (0.000, 0.000, 0.500)
Ga (0.000, 0.500, 0.000)
Li (0.500, 0.500, 0.500)
Mg (0.500, 0.000, 0.000)

## Properties
The calculation puts the formation energy at -0.223 eV/atom. As for the space group: No. 123. The calculation puts the total energy at -2.6139 eV per atom.

DFT (GGA-PBE) results for V4Te5H after structural relaxation.

a = 3.261 Å, b = 7.610 Å, c = 9.075 Å
α = 102.08°, β = 100.35°, γ = 90.00°
Each line ends with the local moment (μB).
Element x y z (fractional)
Te (0.500, 0.500, 0.000)  0.00
Te (0.846, 0.174, 0.692)  0.00
Te (0.152, 0.324, 0.304)  0.00
Te (0.154, 0.826, 0.308)  0.00
Te (0.848, 0.676, 0.696)  0.00
V (0.400, 0.953, 0.801)  -0.17
V (0.600, 0.047, 0.199)  -0.17
V (0.999, 0.193, 0.998)  0.56
V (0.001, 0.807, 0.002)  0.56
H (0.500, 0.000, 0.000)  0.00

## Properties
As for the space group: No. 12. The calculation puts the total energy at -5.7146 eV per atom.

no.,calculated volume (Å³/cell)
1,197.8
2,69.6
3,216.5